# 1
Compound: Nb2ReBiAs
Source: the Alexandria database
Functional: PBE
Structure: relaxed

Lattice parameters (Å, degrees): 4.8298 4.8298 4.6304 90.00 90.00 90.00
Closest atoms and distances in Å follow each position.
Atoms (fractional coordinates):
Nb1 0.0000 0.5000 0.0000  2 As 2.41
Nb2 0.5000 0.0000 0.0000  2 As 2.41
Re1 0.0000 0.0000 0.5000  2 As 2.32
Bi1 0.5000 0.5000 0.5000  8 Nb 3.35, 4 Re 3.42
As1 0.0000 0.0000 0.0000  2 Re 2.32, 4 Nb 2.41

Results
- ΔE_f (eV/atom) = 0.878
- M_tot (μB per cell) = 0.70



# 2
Compound: Sr2Li2La
Source: the Alexandria database
Functional: PBE
Structure: relaxed

Lattice parameters (Å, degrees): 9.8500 9.8500 3.7643 90.00 90.00 90.00
Closest atoms and distances in Å follow each position.
Atoms (fractional coordinates):
Sr1 0.1385 0.3615 0.0000  6 Li 3.35-3.52
Sr2 0.3615 0.8615 0.0000  6 Li 3.35-3.52
Sr3 0.6385 0.1385 0.0000  6 Li 3.35-3.52
Sr4 0.8615 0.6385 0.0000  6 Li 3.35-3.52
Li1 0.1625 0.6625 0.5000  6 Sr 3.35-3.52
Li2 0.3375 0.1625 0.5000  6 Sr 3.35-3.52
Li3 0.6625 0.8375 0.5000  6 Sr 3.35-3.52
Li4 0.8375 0.3375 0.5000  6 Sr 3.35-3.52
La1 0.0000 0.0000 0.0000  2 La 3.76, 4 Sr 3.81, 8 Li 4.14
La2 0.5000 0.5000 0.0000  2 La 3.76, 4 Sr 3.81, 8 Li 4.14

Results
- ΔE_f (eV/atom) = 0.217
- M_tot (μB per cell) = 1.45



# 3
Compound: CsTl2As2O7
Source: the Alexandria database
Functional: PBE
Structure: relaxed

Lattice parameters (Å, degrees): 9.3225 9.3225 9.3225 37.28 37.28 37.28
Closest atoms and distances in Å follow each position.
Atoms (fractional coordinates):
Cs1 0.0000 0.0000 0.0000  6 O 3.17
Tl1 0.2017 0.2017 0.2017  3 O 2.41
Tl2 0.7983 0.7983 0.7983  3 O 2.41
As1 0.4312 0.4312 0.4312  4 O 1.71-1.79
As2 0.5688 0.5688 0.5688  4 O 1.71-1.79
O1 0.1170 0.4609 0.6625  1 As 1.71
O2 0.3375 0.5391 0.8830  1 As 1.71
O3 0.4609 0.6625 0.1170  1 As 1.71
O4 0.5000 0.5000 0.5000  2 As 1.79
O5 0.5391 0.8830 0.3375  1 As 1.71
O6 0.6625 0.1170 0.4609  1 As 1.71
O7 0.8830 0.3375 0.5391  1 As 1.71

Results
- ΔE_f (raw) (eV/atom) = -1.160
- M_tot (μB per cell) = 0.00



# 4
Compound: CaAg2Pt
Source: the Alexandria database
Functional: PBE
Structure: relaxed

Lattice parameters (Å, degrees): 3.0538 5.0257 5.1691 90.00 96.77 90.00
Closest atoms and distances in Å follow each position.
Atoms (fractional coordinates):
Ca1 0.0000 0.0000 0.0000  4 Pt 2.84-3.15, 2 Ca 3.05, 4 Ag 3.07
Ag1 0.3102 0.5000 0.7348  5 Ag 2.81-3.05, 2 Pt 2.88, 2 Ca 3.07
Ag2 0.6898 0.5000 0.2652  5 Ag 2.81-3.05, 2 Pt 2.88, 2 Ca 3.07
Pt1 0.5000 0.0000 0.5000  4 Ca 2.84-3.15, 4 Ag 2.88, 2 Pt 3.05

Results
- ΔE_f (eV/atom) = -0.248
- M_tot (μB per cell) = 0.00



# 5
Compound: NaTi2Al5O12
Source: the Alexandria database
Functional: PBE
Structure: relaxed

Lattice parameters (Å, degrees): 9.1629 15.5245 2.9406 90.00 90.00 90.00
Closest atoms and distances in Å follow each position.
Atoms (fractional coordinates):
Na1 0.0000 0.0000 0.0000  6 O 2.51-2.54
Na2 0.5000 0.5000 0.0000  6 O 2.51-2.54
Ti1 0.2328 0.3572 0.0000  5 O 1.83-2.01
Ti2 0.2672 0.8572 0.0000  5 O 1.83-2.01
Ti3 0.7328 0.1428 0.0000  5 O 1.83-2.01
Ti4 0.7672 0.6428 0.0000  5 O 1.83-2.01
Al1 0.0000 0.5000 0.5000  6 O 1.90-1.94
Al2 0.0138 0.1989 0.5000  6 O 1.90-1.98
Al3 0.1877 0.6468 0.0000  4 O 1.76-1.81
Al4 0.3123 0.1468 0.0000  4 O 1.76-1.81
Al5 0.4862 0.6989 0.5000  6 O 1.90-1.98
Al6 0.5000 0.0000 0.5000  6 O 1.90-1.94
Al7 0.5138 0.3011 0.5000  6 O 1.90-1.98
Al8 0.6877 0.8532 0.0000  4 O 1.76-1.81
Al9 0.8123 0.3532 0.0000  4 O 1.76-1.81
Al10 0.9862 0.8011 0.5000  6 O 1.90-1.98
O1 0.1045 0.7526 0.0000  3 Al 1.81-1.98
O2 0.1075 0.4493 0.0000  1 Ti 1.83, 2 Al 1.94
O3 0.1175 0.1481 0.0000  3 Al 1.78-1.92
O4 0.1308 0.8944 0.5000  1 Al 1.96, 2 Ti 2.01
O5 0.1322 0.5939 0.5000  3 Al 1.76-1.90
O6 0.1417 0.2951 0.5000  1 Al 1.90, 2 Ti 1.95
O7 0.3583 0.7951 0.5000  1 Al 1.90, 2 Ti 1.95
O8 0.3678 0.0939 0.5000  3 Al 1.76-1.90
O9 0.3692 0.3944 0.5000  1 Al 1.96, 2 Ti 2.01
O10 0.3825 0.6481 0.0000  3 Al 1.78-1.92
O11 0.3925 0.9493 0.0000  1 Ti 1.83, 2 Al 1.94
O12 0.3955 0.2526 0.0000  3 Al 1.81-1.98
O13 0.6045 0.7474 0.0000  3 Al 1.81-1.98
O14 0.6075 0.0507 0.0000  1 Ti 1.83, 2 Al 1.94
O15 0.6175 0.3519 0.0000  3 Al 1.78-1.92
O16 0.6308 0.6056 0.5000  1 Al 1.96, 2 Ti 2.01
O17 0.6322 0.9061 0.5000  3 Al 1.76-1.90
O18 0.6417 0.2049 0.5000  1 Al 1.90, 2 Ti 1.95
O19 0.8583 0.7049 0.5000  1 Al 1.90, 2 Ti 1.95
O20 0.8678 0.4061 0.5000  3 Al 1.76-1.90
O21 0.8692 0.1056 0.5000  1 Al 1.96, 2 Ti 2.01
O22 0.8825 0.8519 0.0000  3 Al 1.78-1.92
O23 0.8925 0.5507 0.0000  1 Ti 1.83, 2 Al 1.94
O24 0.8955 0.2474 0.0000  3 Al 1.81-1.98

Results
- ΔE_f (raw) (eV/atom) = -2.947
- M_tot (μB per cell) = 0.00



# 6
Compound: CaRuSe2Br
Source: the Alexandria database
Functional: PBE
Structure: relaxed

Lattice parameters (Å, degrees): 4.9320 4.9320 5.1700 90.00 90.00 90.00
Closest atoms and distances in Å follow each position.
Atoms (fractional coordinates):
Ca1 0.0000 0.0000 0.0000  4 Br 3.49, 8 Se 3.57
Ru1 0.5000 0.5000 0.5000  4 Se 2.47, 2 Br 2.59
Se1 0.0000 0.5000 0.5000  2 Ru 2.47
Se2 0.5000 0.0000 0.5000  2 Ru 2.47
Br1 0.5000 0.5000 0.0000  2 Ru 2.59

Results
- ΔE_f (raw) (eV/atom) = -0.455
- M_tot (μB per cell) = 1.53



# 7
Compound: LaScH2N
Source: the Alexandria database
Functional: PBE
Structure: relaxed

Lattice parameters (Å, degrees): 3.8620 3.8620 4.3400 90.00 90.00 90.00
Closest atoms and distances in Å follow each position.
Atoms (fractional coordinates):
La1 0.0000 0.0000 0.0000  4 N 2.73, 8 H 2.90
Sc1 0.5000 0.5000 0.5000  4 H 1.93
H1 0.0000 0.5000 0.5000  2 Sc 1.93
H2 0.5000 0.0000 0.5000  2 Sc 1.93
N1 0.5000 0.5000 0.0000  2 Sc 2.17

Results
- E_tot (eV for the cell shown) = -30.851
- M_tot (μB per cell) = 0.00



# 8
Compound: SrZn2InAu5
Source: the Alexandria database
Functional: PBE
Structure: relaxed

Lattice parameters (Å, degrees): 5.0060 5.0060 7.7400 90.00 90.00 90.00
Closest atoms and distances in Å follow each position.
Atoms (fractional coordinates):
Sr1 0.0000 0.0000 0.0000  12 Au 3.23-3.54
Zn1 0.5000 0.5000 0.3401  1 Zn 2.47, 5 Au 2.57-2.63
Zn2 0.5000 0.5000 0.6599  1 Zn 2.47, 5 Au 2.57-2.63
In1 0.0000 0.0000 0.5000  8 Au 3.10
Au1 0.0000 0.5000 0.2639  2 Zn 2.57
Au2 0.0000 0.5000 0.7361  2 Zn 2.57
Au3 0.5000 0.0000 0.2639  2 Zn 2.57
Au4 0.5000 0.0000 0.7361  2 Zn 2.57
Au5 0.5000 0.5000 0.0000  2 Zn 2.63

Results
- ΔE_f (eV/atom) = -0.252
- M_tot (μB per cell) = 0.00



M_tot of number 8 (SrZn2InAu5)?
0.00 μB per cell



Number 8 is which compound?
SrZn2InAu5